Record 1
# HfCu2ReTc

A geometry-optimized HfCu2ReTc structure (GGA-PBE, Alexandria via LeMat-Bulk).

The structure in extended XYZ format:
```
5
Lattice="4.646 0.000 0.000 0.000 4.809 0.000 0.000 0.000 4.646" Properties=species:S:1:pos:R:3 pbc="T T T"
Hf 0.000 2.404 0.000
Tc 2.323 2.404 2.323
Re 0.000 0.000 0.000
Cu 0.000 0.000 2.323
Cu 2.323 0.000 0.000
```

=====

Record 2
# Cs3RbAu

A geometry-optimized Cs3RbAu structure (GGA-PBE, Alexandria via LeMat-Bulk).

The structure in extended XYZ format:
```
10
Lattice="23.490 0.000 0.531 8.605 2.820 -5.740 -8.605 2.820 5.740" Properties=species:S:1:pos:R:3 pbc="T T T"
Cs 21.217 2.820 1.428
Cs 9.419 2.820 -2.049
Cs -2.895 2.820 5.345
Cs 14.071 2.820 2.580
Cs 26.385 2.820 -4.814
Cs 2.273 2.820 -0.897
Rb 18.334 2.820 -3.325
Rb 5.156 2.820 3.856
Au 5.592 2.820 -2.673
Au 17.899 2.820 3.204
```

=====

Record 3
# PmTmZnPt

A geometry-optimized PmTmZnPt structure (GGA-PBE, Alexandria via LeMat-Bulk).

The structure in extended XYZ format:
```
4
Lattice="-2.156 3.341 -3.063 1.289 0.157 -4.848 -3.241 -1.539 -3.509" Properties=species:S:1:pos:R:3 pbc="T T T"
Zn -1.027 0.490 -2.855
Pm 0.000 0.000 0.000
Tm -2.054 0.979 -5.710
Pt -3.082 1.469 -8.565
```

=====

Number 1: formation energy from the elements 1.590 eV per atom, uncorrected energy -6.602 eV/atom. Number 2: formation energy from the elements -0.130 eV per atom, uncorrected energy -1.491 eV/atom. Number 3: formation energy from the elements -0.751 eV per atom, uncorrected energy -4.886 eV/atom.